# 1
DFT (GGA-PBE) results for crystalline AlSn2P2 at its relaxed geometry.

Values from the calculation:
- Density: 5.10 Mg/m³
- Energy: -42.6 eV/cell
- Energy of formation: 0.257 eV per atom
- Energy above the most stable polymorph in this dataset: 0.000 eV/atom

Cell: 3.399 3.399 18.399 Å, 90.00 90.00 90.00°
Space group I4/mmm (No. 139)
One atom of each set of equivalent atoms:
Al: 0.000 0.000 0.000 (multiplicity 2)
Sn: 0.000 0.000 0.395 (multiplicity 4)
P: 0.000 0.500 0.250 (multiplicity 4)

***

# 2
DFT (GGA-PBE) results for crystalline Mg2H4Ir at its relaxed geometry.

Values from the calculation:
- Density: 5.68 Mg/m³
- Energy: -52.2 eV/cell
- Energy above the most stable polymorph in this dataset: 0.289 eV/atom

Cell: 3.563 3.563 11.282 Å, 90.00 90.00 90.00°
Space group I4/mmm (No. 139)
One atom of each set of equivalent atoms:
Mg: 0.000 0.000 0.141 (multiplicity 4)
H: 0.000 0.000 0.345 (multiplicity 4)
H: 0.000 0.500 0.000 (multiplicity 4)
Ir: 0.000 0.000 0.500 (multiplicity 2)

***

# 3
DFT (GGA-PBE) results for crystalline Tb3CeSc3Se8 at its relaxed geometry.

Values from the calculation:
- Uncorrected formation energy: -167 kJ/mol of atoms
- Density: 6.39 Mg/m³
- Energy: -278.0 eV/cell

Cell: 7.9596 7.9596 19.6545 Å, 90.00 90.00 120.00°
Space group R-3m (No. 166, hexagonal axes)
One atom of each set of equivalent atoms:
Tb: 0.0000 0.5000 0.0000 (multiplicity 9)
Ce: 0.0000 0.0000 0.5000 (multiplicity 3)
Sc: 0.0000 0.5000 0.5000 (multiplicity 9)
Se: 0.0000 0.0000 0.2445 (multiplicity 6)
Se: 0.0227 0.5113 0.7500 (multiplicity 18)

***

# 4
DFT (GGA-PBE) results for crystalline MgTl2Cd3Sn4 at its relaxed geometry.

Values from the calculation:
- Density: 7.21 Mg/m³
- Energy: -24.9 eV/cell
- Energy of formation: 0.018 eV per atom

Cell: 4.706 4.706 12.946 Å, 90.00 90.00 90.00°
Space group P-4m2 (No. 115)
One atom of each set of equivalent atoms:
Mg: 0.000 0.000 0.000 (multiplicity 1)
Tl: 0.000 0.500 0.760 (multiplicity 2)
Cd: 0.000 0.500 0.354 (multiplicity 2)
Cd: 0.500 0.500 0.000 (multiplicity 1)
Sn: 0.000 0.000 0.500 (multiplicity 1)
Sn: 0.000 0.500 0.138 (multiplicity 2)
Sn: 0.500 0.500 0.500 (multiplicity 1)

***

# 5
DFT (GGA-PBE) results for crystalline Mg6IO12 at its relaxed geometry.

Values from the calculation:
- Uncorrected formation energy: -147 kJ/mol of atoms
- Density: 3.68 Mg/m³
- Energy: -298.5 eV/cell

Cell: 9.0933 9.0933 8.7887 Å, 90.00 90.00 120.00°
Space group R-3 (No. 148, hexagonal axes)
One atom of each set of equivalent atoms:
Mg: 0.0476 0.7935 0.1532 (multiplicity 18)
I: 0.0000 0.0000 0.5000 (multiplicity 3)
O: 0.0400 0.8174 0.9002 (multiplicity 18)
O: 0.0417 0.8479 0.3860 (multiplicity 18)

***

# 6
DFT (GGA-PBE) results for crystalline Mg2BeTl at its relaxed geometry.

Values from the calculation:
- Density: 5.46 Mg/m³
- Energy: -15.9 eV/cell
- Energy of formation: 0.333 eV per atom
- Energy above the most stable polymorph in this dataset: 0.117 eV/atom

Cell: 6.069 8.151 3.223 Å, 90.00 90.00 90.00°
Space group Cmmm (No. 65)
One atom of each set of equivalent atoms:
Mg: 0.250 0.250 0.000 (multiplicity 4)
Be: 0.000 0.000 0.500 (multiplicity 2)
Tl: 0.000 0.500 0.500 (multiplicity 2)

***

# 7
DFT (GGA-PBE) results for crystalline NaCd7Hg12 at its relaxed geometry.

Values from the calculation:
- Density: 8.24 Mg/m³
- Energy: -20.4 eV/cell
- Energy of formation: 0.058 eV per atom
- Energy above the most stable polymorph in this dataset: 0.060 eV/atom

Cell: 10.904 10.904 10.904 Å, 90.00 90.00 90.00°
Space group Im-3 (No. 204)
One atom of each set of equivalent atoms:
Na: 0.000 0.000 0.000 (multiplicity 2)
Cd: 0.000 0.000 0.500 (multiplicity 6)
Cd: 0.250 0.250 0.250 (multiplicity 8)
Hg: 0.000 0.274 0.153 (multiplicity 24)

***

# 8
DFT (GGA-PBE) results for crystalline Rb2CrCl at its relaxed geometry.

Values from the calculation:
- Uncorrected formation energy: -15 kJ/mol of atoms
- Density: 2.04 Mg/m³
- Energy: -56.2 eV/cell
- Energy above the most stable polymorph in this dataset: 0.000 eV/atom

Cell: 9.158 9.158 10.019 Å, 90.00 90.00 90.00°
Space group I-42d (No. 122)
One atom of each set of equivalent atoms:
Rb: 0.195 0.250 0.125 (multiplicity 8)
Cr: 0.000 0.000 0.500 (multiplicity 4)
Cl: 0.000 0.000 0.000 (multiplicity 4)

***

# 9
DFT (GGA-PBE) results for crystalline NiHgTeI2 at its relaxed geometry.

Values from the calculation:
- Uncorrected formation energy: 21 kJ/mol of atoms
- Density: 7.02 Mg/m³
- Energy: -11.3 eV/cell
- Energy above the most stable polymorph in this dataset: 0.000 eV/atom

Cell: 5.523 5.523 4.968 Å, 90.00 90.00 90.00°
Space group P4/mmm (No. 123)
One atom of each set of equivalent atoms:
Ni: 0.000 0.000 0.000 (multiplicity 1)
Hg: 0.500 0.500 0.500 (multiplicity 1)
Te: 0.000 0.000 0.500 (multiplicity 1)
I: 0.000 0.500 0.000 (multiplicity 2)

***

# 10
DFT (GGA-PBE) results for crystalline ZnCu2Mo at its relaxed geometry.

Values from the calculation:
- Density: 8.75 Mg/m³
- Energy: -59.2 eV/cell
- Energy of formation: 0.138 eV per atom

Cell: 2.6790 2.6790 26.4270 Å, 90.00 90.00 120.00°
Space group R-3m (No. 166, hexagonal axes)
One atom of each set of equivalent atoms:
Zn: 0.0000 0.0000 0.0000 (multiplicity 3)
Cu: 0.0000 0.0000 0.2522 (multiplicity 6)
Mo: 0.0000 0.0000 0.5000 (multiplicity 3)

***

# 11
DFT (GGA-PBE) results for crystalline Mg2SeI at its relaxed geometry.

Values from the calculation:
- Uncorrected formation energy: -42 kJ/mol of atoms
- Density: 4.39 Mg/m³
- Energy: -39.9 eV/cell
- Energy above the most stable polymorph in this dataset: 0.212 eV/atom

Cell: 7.273 7.273 7.273 Å, 90.00 90.00 90.00°
Space group Fm-3m (No. 225)
One atom of each set of equivalent atoms:
Mg: 0.250 0.250 0.250 (multiplicity 8)
Se: 0.000 0.000 0.000 (multiplicity 4)
I: 0.000 0.000 0.500 (multiplicity 4)

***

# 12
DFT (GGA-PBE) results for crystalline Na2MgNbO4 at its relaxed geometry.

Values from the calculation:
- Uncorrected formation energy: -204 kJ/mol of atoms
- Density: 3.25 Mg/m³
- Energy: -102.1 eV/cell

Cell: 5.583 5.583 7.452 Å, 90.00 90.00 90.00°
Space group I-4 (No. 82)
One atom of each set of equivalent atoms:
Na: 0.000 0.000 0.000 (multiplicity 2)
Na: 0.000 0.500 0.250 (multiplicity 2)
Mg: 0.000 0.000 0.500 (multiplicity 2)
Nb: 0.000 0.500 0.750 (multiplicity 2)
O: 0.183 0.241 0.643 (multiplicity 8)

***

# 13
DFT (GGA-PBE) results for crystalline Hg2RhCl at its relaxed geometry.

Values from the calculation:
- Uncorrected formation energy: 36 kJ/mol of atoms
- Density: 6.87 Mg/m³
- Energy: -33.2 eV/cell
- Energy above the most stable polymorph in this dataset: 0.371 eV/atom

Cell: 6.244 6.244 13.371 Å, 90.00 90.00 90.00°
Space group I-42d (No. 122)
One atom of each set of equivalent atoms:
Hg: 0.206 0.250 0.125 (multiplicity 8)
Rh: 0.000 0.000 0.000 (multiplicity 4)
Cl: 0.000 0.000 0.500 (multiplicity 4)

***

# 14
DFT (GGA-PBE) results for crystalline LiTcSb2 at its relaxed geometry.

Values from the calculation:
- Uncorrected formation energy: 17 kJ/mol of atoms
- Density: 7.42 Mg/m³
- Energy: -39.7 eV/cell
- Energy above the most stable polymorph in this dataset: 0.344 eV/atom

Cell: 4.008 4.008 9.704 Å, 90.00 90.00 90.00°
Space group I-4m2 (No. 119)
One atom of each set of equivalent atoms:
Li: 0.000 0.000 0.000 (multiplicity 2)
Tc: 0.000 0.500 0.250 (multiplicity 2)
Sb: 0.000 0.000 0.500 (multiplicity 2)
Sb: 0.000 0.500 0.750 (multiplicity 2)

***

# 15
DFT (GGA-PBE) results for crystalline Dy2ErCo at its relaxed geometry.

Values from the calculation:
- Density: 8.16 Mg/m³
- Energy: -60.5 eV/cell
- Energy of formation: 0.178 eV per atom
- Energy above the most stable polymorph in this dataset: 0.347 eV/atom

Cell: 3.5513 3.5513 30.8055 Å, 90.00 90.00 120.00°
Space group R-3m (No. 166, hexagonal axes)
One atom of each set of equivalent atoms:
Dy: 0.0000 0.0000 0.1127 (multiplicity 6)
Er: 0.0000 0.0000 0.0000 (multiplicity 3)
Co: 0.0000 0.0000 0.5000 (multiplicity 3)

***

# 16
DFT (GGA-PBE) results for crystalline AcLaCdSi at its relaxed geometry.

Values from the calculation:
- Uncorrected formation energy: -33 kJ/mol of atoms
- Density: 7.20 Mg/m³
- Energy: -67.0 eV/cell

Cell: 7.761 7.761 7.761 Å, 90.00 90.00 90.00°
Space group F-43m (No. 216)
One atom of each set of equivalent atoms:
Ac: 0.000 0.000 0.000 (multiplicity 4)
La: 0.000 0.000 0.500 (multiplicity 4)
Cd: 0.250 0.250 0.750 (multiplicity 4)
Si: 0.250 0.250 0.250 (multiplicity 4)

***

# 17
DFT (GGA-PBE) results for crystalline Ca2ZnAuN at its relaxed geometry.

Values from the calculation:
- Uncorrected formation energy: 72 kJ/mol of atoms
- Density: 4.30 Mg/m³
- Energy: -13.1 eV/cell
- Energy above the most stable polymorph in this dataset: 1.405 eV/atom

Cell: 5.477 5.477 4.595 Å, 90.00 90.00 90.00°
Space group P4/mmm (No. 123)
One atom of each set of equivalent atoms:
Ca: 0.000 0.500 0.000 (multiplicity 2)
Zn: 0.000 0.000 0.000 (multiplicity 1)
Au: 0.000 0.000 0.500 (multiplicity 1)
N: 0.500 0.500 0.500 (multiplicity 1)

***

# 18
DFT (GGA-PBE) results for crystalline Na4Si2Ru at its relaxed geometry.

Values from the calculation:
- Uncorrected formation energy: 82 kJ/mol of atoms
- Density: 1.91 Mg/m³
- Energy: -38.9 eV/cell

Cell: 5.601 5.601 13.793 Å, 90.00 90.00 90.00°
Space group I4/mmm (No. 139)
One atom of each set of equivalent atoms:
Na: 0.000 0.000 0.207 (multiplicity 4)
Na: 0.000 0.500 0.000 (multiplicity 4)
Si: 0.000 0.000 0.419 (multiplicity 4)
Ru: 0.000 0.000 0.000 (multiplicity 2)

***

# 19
DFT (GGA-PBE) results for crystalline Cr2IrAu at its relaxed geometry.

Values from the calculation:
- Density: 13.74 Mg/m³
- Energy: -30.6 eV/cell
- Energy of formation: 0.197 eV per atom
- Energy above the most stable polymorph in this dataset: 0.085 eV/atom

Cell: 4.619 2.903 4.662 Å, 90.00 107.52 90.00°
Space group P2/m (No. 10)
One atom of each set of equivalent atoms:
Cr: 0.000 0.000 0.000 (multiplicity 1)
Cr: 0.000 0.500 0.500 (multiplicity 1)
Ir: 0.500 0.000 0.500 (multiplicity 1)
Au: 0.500 0.500 0.000 (multiplicity 1)

***

# 20
DFT (GGA-PBE) results for crystalline NpSi2Pd at its relaxed geometry.

Values from the calculation:
- Uncorrected formation energy: -20 kJ/mol of atoms
- Density: 9.88 Mg/m³
- Energy: -29.8 eV/cell

Cell: 3.090 3.090 7.035 Å, 90.00 90.00 90.00°
Space group P4/mmm (No. 123)
One atom of each set of equivalent atoms:
Np: 0.000 0.000 0.000 (multiplicity 1)
Si: 0.500 0.500 0.289 (multiplicity 2)
Pd: 0.000 0.000 0.500 (multiplicity 1)

***

# 21
DFT (GGA-PBE) results for crystalline RbSb3Pd2 at its relaxed geometry.

Values from the calculation:
- Uncorrected formation energy: -34 kJ/mol of atoms
- Density: 6.48 Mg/m³
- Energy: -154.9 eV/cell

Cell: 6.4755 6.4755 28.0782 Å, 90.00 90.00 120.00°
Space group R-3m (No. 166, hexagonal axes)
One atom of each set of equivalent atoms:
Rb: 0.0000 0.0000 0.1955 (multiplicity 6)
Sb: 0.0064 0.5032 0.2620 (multiplicity 18)
Pd: 0.0000 0.0000 0.0000 (multiplicity 3)
Pd: 0.0000 0.5000 0.0000 (multiplicity 9)